# 1
Below is SmLuTlBi after structural relaxation, with properties calculated at the PBE level.

Lattice parameters (Å, degrees): 7.714 7.714 7.714 90.00 90.00 90.00
Atoms (fractional coordinates):
Sm: 0.000 0.000 0.000
Sm: 0.000 0.500 0.500
Sm: 0.500 0.000 0.500
Sm: 0.500 0.500 0.000
Lu: 0.000 0.000 0.500
Lu: 0.000 0.500 0.000
Lu: 0.500 0.000 0.000
Lu: 0.500 0.500 0.500
Tl: 0.250 0.250 0.750
Tl: 0.250 0.750 0.250
Tl: 0.750 0.250 0.250
Tl: 0.750 0.750 0.750
Bi: 0.250 0.250 0.250
Bi: 0.250 0.750 0.750
Bi: 0.750 0.250 0.750
Bi: 0.750 0.750 0.250

Results
Crystal system: cubic

# 2
Below is CdNi2Mo after structural relaxation, with properties calculated at the PBE level.

Lattice parameters (Å, degrees): 2.808 4.379 4.781 90.00 90.00 90.00
Atoms (fractional coordinates):
Cd: 0.000 0.000 0.000
Ni: 0.000 0.500 0.500
Ni: 0.500 0.500 0.000
Mo: 0.500 0.000 0.500

Results
Crystal system: orthorhombic

# 3
Below is ReOs2Ru3 after structural relaxation, with properties calculated at the PBE level.

Lattice parameters (Å, degrees): 6.101 6.101 8.613 115.16 115.16 36.88
Atoms (fractional coordinates):
Re: 0.127 0.127 0.130
Re: 0.873 0.873 0.870
Os: 0.208 0.208 0.874
Os: 0.458 0.458 0.126
Os: 0.542 0.542 0.874
Os: 0.792 0.792 0.126
Ru: 0.041 0.041 0.373
Ru: 0.292 0.292 0.627
Ru: 0.374 0.374 0.373
Ru: 0.626 0.626 0.627
Ru: 0.708 0.708 0.373
Ru: 0.959 0.959 0.627

Results
Crystal system: monoclinic

# 4
Below is KBaMgCu2 after structural relaxation, with properties calculated at the PBE level.

Lattice parameters (Å, degrees): 5.947 5.947 6.626 90.00 90.00 90.00
Atoms (fractional coordinates):
K: 0.000 0.000 0.000
Ba: 0.500 0.500 0.500
Mg: 0.500 0.500 0.000
Cu: 0.000 0.500 0.500
Cu: 0.500 0.000 0.500

Results
Crystal system: tetragonal

# 5
Below is NdZr2Nb after structural relaxation, with properties calculated at the PBE level.

Lattice parameters (Å, degrees): 3.544 3.544 7.779 90.00 90.00 90.00
Atoms (fractional coordinates):
Nd: 0.000 0.000 0.000
Zr: 0.500 0.500 0.298
Zr: 0.500 0.500 0.702
Nb: 0.000 0.000 0.500

Results
Energy above the lowest structure with this stoichiometry: 0.0 meV per atom
Crystal system: tetragonal

# 6
Below is Ac2AgRh after structural relaxation, with properties calculated at the PBE level.

Lattice parameters (Å, degrees): 4.393 4.393 7.679 90.00 90.00 120.00
Atoms (fractional coordinates):
Ac: 0.333 0.667 0.211
Ac: 0.667 0.333 0.789
Ag: 0.000 0.000 0.500
Rh: 0.000 0.000 0.000

Results
Crystal system: trigonal

no.,DFT total energy (eV per atom)
1,-4.251
2,-5.340
3,-10.358
4,-1.822
5,-7.859
6,-5.051